A relaxed Pm2ErCo9 crystal. Source: the Alexandria database, functional PBE.

- Electronic total energy: -6.612 eV/atom
- Crystal system: trigonal
- ΔH_f (0 K): -0.1102 eV/atom
- Calculated density: 9.2 g/cm3

Cell: 4.9809 4.9809 24.8194 Å, 90.00 90.00 120.00°
Space group R-3m (No. 166, hexagonal axes)
Unique sites:
Pm  0.0000  0.0000  0.1393 [6 per cell]
Er  0.0000  0.0000  0.0000 [3 per cell]
Co  0.0000  0.0000  0.3336 [6 per cell]
Co  0.0000  0.0000  0.5000 [3 per cell]
Co  0.0015  0.5008  0.0789 [18 per cell]